Entry w
Here is an optimized crystal structure of TiMo2Os from Alexandria via LeMat-Bulk. Energies are from PBE.

Output
Magnetic moment: 0.0 μB per formula unit
Volume: 245.2 Å³/cell

Geometry as CIF:
```
data_TiMo2Os
_chemical_formula_sum 'Ti4 Mo8 Os4'
_cell_length_a 6.2590
_cell_length_b 6.2590
_cell_length_c 6.2590
_cell_angle_alpha 90.00
_cell_angle_beta 90.00
_cell_angle_gamma 90.00
_symmetry_space_group_name_H-M 'F m -3 m'
_symmetry_Int_Tables_number 225
_symmetry_space_group_name_Hall '-F 4 2 3'
loop_
_atom_site_label
_atom_site_fract_x
_atom_site_fract_y
_atom_site_fract_z
Ti1 0.0000 0.0000 0.0000
Mo1 0.2500 0.2500 0.2500
Os1 0.0000 0.0000 0.5000
```


Entry x
Here is an optimized crystal structure of TiMo2Os from Alexandria via LeMat-Bulk. Energies are from PBE.

Output
Magnetic moment: 0.0 μB per formula unit
Volume: 272.5 Å³/cell

Geometry as CIF:
```
data_TiMo2Os
_chemical_formula_sum 'Ti4 Mo8 Os4'
_cell_length_a 7.2762
_cell_length_b 7.2762
_cell_length_c 5.1467
_cell_angle_alpha 90.00
_cell_angle_beta 90.00
_cell_angle_gamma 90.00
_symmetry_space_group_name_H-M 'I -4 2 d'
_symmetry_Int_Tables_number 122
_symmetry_space_group_name_Hall 'I -4 2bw'
loop_
_atom_site_label
_atom_site_fract_x
_atom_site_fract_y
_atom_site_fract_z
Ti1 0.0000 0.0000 0.0000
Mo1 0.2265 0.2500 0.6250
Os1 0.0000 0.0000 0.5000
```


Compare the structures above. Which one is the most stable? entry w is.